Compound: NiOs
Source: Alexandria via LeMat-Bulk
Functional: PBE
Structure: relaxed

abc: 9.206 4.234 5.228
angles: 90.00 90.00 90.00
Fractional coordinates of all 16 atoms:
Os 0.910 0.250 0.002
Os 0.331 0.750 0.248
Ni 0.333 0.750 0.757
Os 0.669 0.250 0.752
Os 0.831 0.750 0.252
Os 0.090 0.750 0.998
Ni 0.833 0.750 0.743
Os 0.169 0.250 0.748
Os 0.410 0.250 0.498
Ni 0.667 0.250 0.243
Ni 0.919 0.250 0.505
Ni 0.581 0.750 0.005
Ni 0.081 0.750 0.495
Os 0.590 0.750 0.502
Ni 0.419 0.250 0.995
Ni 0.167 0.250 0.257

Formation enthalpy at 0 K (kJ per mole of atoms): 8.9

=====

Compound: Li4Pr3Ga4
Source: Alexandria via LeMat-Bulk
Functional: PBE
Structure: relaxed

abc: 4.736 3.535 14.878
angles: 96.82 99.16 90.00
Fractional coordinates of all 11 atoms:
Pr 0.357 0.857 0.715
Ga 0.815 0.315 0.631
Li 0.908 0.408 0.815
Li 0.743 0.743 0.487
Li 0.257 0.257 0.513
Pr 0.643 0.143 0.285
Li 0.092 0.592 0.185
Ga 0.453 0.453 0.905
Ga 0.547 0.547 0.095
Ga 0.185 0.685 0.369
Pr 0.000 0.000 0.000

Energy above the lowest structure with this stoichiometry (kJ/mol of formula units): 5
Formation enthalpy at 0 K (kJ per mole of atoms): -34.2

=====

Compound: In2Sn2O7
Source: Alexandria via LeMat-Bulk
Functional: PBE
Structure: relaxed

abc: 7.306 7.306 7.306
angles: 60.00 60.00 60.00
Fractional coordinates of all 22 atoms:
O 0.242 0.758 0.758
In 0.125 0.125 0.625
In 0.125 0.625 0.125
O 0.008 0.008 0.492
Sn 0.625 0.625 0.625
O 0.492 0.008 0.492
In 0.625 0.125 0.125
O 0.758 0.242 0.242
O 0.500 0.500 0.500
O 0.758 0.758 0.242
In 0.125 0.125 0.125
Sn 0.125 0.625 0.625
O 0.242 0.758 0.242
O 0.758 0.242 0.758
Sn 0.625 0.125 0.625
O 0.242 0.242 0.758
O 0.492 0.492 0.008
O 0.492 0.008 0.008
O 0.750 0.750 0.750
O 0.008 0.492 0.492
Sn 0.625 0.625 0.125
O 0.008 0.492 0.008

Uncorrected formation energy (eV per atom): -1.333

=====

Compound: Tb4ZnIn
Source: Alexandria via LeMat-Bulk
Functional: PBE
Structure: relaxed

abc: 5.040 5.041 7.330
angles: 89.98 89.99 90.00
Fractional coordinates of all 6 atoms:
Zn 0.001 0.997 0.498
Tb 0.501 0.997 0.263
Tb 0.001 0.497 0.733
Tb 0.001 0.497 0.263
In 0.501 0.497 0.998
Tb 0.501 0.998 0.733

Energy above the lowest structure with this stoichiometry (kJ/mol of formula units): 124
Formation enthalpy at 0 K (kJ per mole of atoms): -2.4

=====

Compound: Ti3ReS
Source: Alexandria via LeMat-Bulk
Functional: PBE
Structure: relaxed

abc: 4.398 4.398 4.398
angles: 90.00 90.00 90.00
Fractional coordinates of all 5 atoms:
Re 0.500 0.500 0.500
Ti 0.000 0.000 0.500
S 0.000 0.000 0.000
Ti 0.000 0.500 0.000
Ti 0.500 0.000 0.000

Energy above the lowest structure with this stoichiometry (kJ/mol of formula units): 0
Uncorrected formation energy (eV per atom): -0.065

=====

Compound: La2Tb6Sm3
Source: Alexandria via LeMat-Bulk
Functional: PBE
Structure: relaxed

abc: 4.798 4.798 17.190
angles: 98.02 98.02 90.00
Fractional coordinates of all 11 atoms:
La 0.454 0.454 0.908
Tb 0.623 0.123 0.245
Tb 0.304 0.304 0.609
Tb 0.123 0.623 0.245
Tb 0.696 0.696 0.391
Sm 0.202 0.202 0.405
Sm 0.798 0.798 0.595
La 0.546 0.546 0.092
Tb 0.877 0.377 0.755
Tb 0.377 0.877 0.755
Sm 0.000 0.000 0.000

Energy above the lowest structure with this stoichiometry (kJ/mol of formula units): 82
Formation enthalpy at 0 K (kJ per mole of atoms): 24.7

=====

Compound: La3IrPb
Source: Alexandria via LeMat-Bulk
Functional: PBE
Structure: relaxed

abc: 4.782 4.782 8.410
angles: 90.00 90.00 90.00
Fractional coordinates of all 5 atoms:
Ir 0.500 0.500 0.508
La 0.000 0.000 0.365
Pb 0.000 0.000 0.986
La 0.000 0.500 0.702
La 0.500 0.000 0.702

Energy above the lowest structure with this stoichiometry (kJ/mol of formula units): 317
Formation enthalpy at 0 K (kJ per mole of atoms): -2.9

=====

Compound: Tb5TmTl6
Source: Alexandria via LeMat-Bulk
Functional: PBE
Structure: relaxed

abc: 5.380 9.305 9.328
angles: 60.08 73.14 54.45
Fractional coordinates of all 12 atoms:
Tm 0.000 0.000 0.000
Tl 0.254 0.246 0.000
Tl 0.752 0.083 0.331
Tl 0.752 0.413 0.669
Tl 0.746 0.754 0.000
Tb 0.000 0.334 0.333
Tb 0.500 0.500 0.000
Tb 0.500 0.168 0.664
Tb 0.500 0.832 0.336
Tl 0.248 0.917 0.669
Tl 0.248 0.587 0.331
Tb 0.000 0.666 0.667

Formation enthalpy at 0 K (kJ per mole of atoms): -33.0

=====

Compound: YZrMn4
Source: Alexandria via LeMat-Bulk
Functional: PBE
Structure: relaxed

abc: 5.042 5.042 5.042
angles: 60.00 60.00 60.00
Fractional coordinates of all 6 atoms:
Mn 0.374 0.374 0.374
Mn 0.374 0.877 0.374
Mn 0.877 0.374 0.374
Zr 0.000 0.000 0.000
Mn 0.374 0.374 0.877
Y 0.750 0.750 0.750

Formation enthalpy at 0 K (kJ per mole of atoms): 1.4

=====

Compound: LaGaReSi2
Source: Alexandria via LeMat-Bulk
Functional: PBE
Structure: relaxed

abc: 5.524 5.052 5.524
angles: 90.00 90.00 90.00
Fractional coordinates of all 5 atoms:
La 0.000 0.000 0.000
Re 0.000 0.500 0.000
Si 0.500 0.000 0.000
Si 0.000 0.000 0.500
Ga 0.500 0.500 0.500

Uncorrected formation energy (eV per atom): 1.930

=====

Compound: Er4GaSi3
Source: Alexandria via LeMat-Bulk
Functional: PBE
Structure: relaxed

abc: 4.246 3.860 10.539
angles: 90.00 90.00 90.00
Fractional coordinates of all 8 atoms:
Er 0.000 0.000 0.142
Ga 0.500 0.500 0.077
Si 0.000 0.000 0.424
Er 0.000 0.500 0.857
Si 0.000 0.500 0.577
Er 0.500 0.000 0.640
Si 0.500 0.000 0.921
Er 0.500 0.500 0.362

Uncorrected formation energy (eV per atom): -0.786

=====

Compound: RbTlSe2Br
Source: Alexandria via LeMat-Bulk
Functional: PBE
Structure: relaxed

abc: 6.305 6.305 6.356
angles: 90.00 90.00 90.00
Fractional coordinates of all 5 atoms:
Rb 0.000 0.000 0.000
Se 0.000 0.500 0.000
Se 0.500 0.000 0.000
Tl 0.500 0.500 0.500
Br 0.000 0.000 0.500

Energy above the lowest structure with this stoichiometry (kJ/mol of formula units): 285
Uncorrected formation energy (eV per atom): 0.176